No. 1
Density functional theory data (PBE) for crystalline TbNd2Er3Sb6 at its relaxed geometry.

Calculated values
formation energy (no corrections)	-1.13	eV per atom
Fermi-level density of states	0.160	states/eV/atom
total magnetization	0.00	μB per formula unit
calculated total energy	-5.513	eV/atom

a = 19.252 Å, b = 4.421 Å, c = 8.834 Å
α = 90.00°, β = 103.17°, γ = 90.00°
Space group C2/m (No. 12)
One atom of each set of equivalent atoms:
Tb  0.000  0.000  0.000 [2 per cell]
Nd  0.166  0.500  0.333 [4 per cell]
Er  0.000  0.000  0.500 [2 per cell]
Er  0.168  0.500  0.834 [4 per cell]
Sb  0.003  0.500  0.749 [4 per cell]
Sb  0.164  0.000  0.590 [4 per cell]
Sb  0.167  0.000  0.076 [4 per cell]

No. 2
Density functional theory data (PBE) for crystalline La4Dy5Ho2 at its relaxed geometry.

Calculated values
Fermi-level density of states	1.645	states/eV/atom
energy of formation from the pure elements	0.09	eV/atom
total magnetization	0.00	μB per formula unit
calculated total energy	-4.627	eV/atom
energy above the most stable polymorph in this dataset	0.000	eV/atom

a = 17.767 Å, b = 3.553 Å, c = 11.726 Å
α = 90.00°, β = 94.16°, γ = 90.00°
Space group C2/m (No. 12)
One atom of each set of equivalent atoms:
La  0.037  0.000  0.262 [4 per cell]
La  0.141  0.500  0.796 [4 per cell]
Dy  0.000  0.500  0.000 [2 per cell]
Dy  0.098  0.000  0.539 [4 per cell]
Dy  0.178  0.000  0.071 [4 per cell]
Ho  0.215  0.500  0.358 [4 per cell]

No. 3
Density functional theory data (PBE) for crystalline Zn3Ni4 at its relaxed geometry.

Calculated values
Fermi-level density of states	0.917	states/eV/atom
energy of formation from the pure elements	-0.12	eV/atom
total magnetization	0.00	μB per formula unit
calculated total energy	-3.969	eV/atom
energy above the most stable polymorph in this dataset	0.074	eV/atom

a = 2.623 Å, b = 2.623 Å, c = 24.645 Å
α = 90.00°, β = 90.00°, γ = 90.00°
Space group I4/mmm (No. 139)
One atom of each set of equivalent atoms:
Zn  0.000  0.000  0.000 [2 per cell]
Zn  0.000  0.000  0.294 [4 per cell]
Ni  0.000  0.000  0.137 [4 per cell]
Ni  0.000  0.000  0.430 [4 per cell]

No. 4
Density functional theory data (PBE) for crystalline MnZnRh4 at its relaxed geometry.

Calculated values
Fermi-level density of states	1.567	states/eV/atom
energy of formation from the pure elements	0.16	eV/atom
total magnetization	4.85	μB per formula unit
calculated total energy	-6.483	eV/atom
energy above the most stable polymorph in this dataset	0.285	eV/atom

a = 7.216 Å, b = 7.216 Å, c = 7.216 Å
α = 90.00°, β = 90.00°, γ = 90.00°
Space group F-43m (No. 216)
One atom of each set of equivalent atoms:
Mn  0.000  0.000  0.000 [4 per cell]
Zn  0.250  0.250  0.250 [4 per cell]
Rh  0.125  0.125  0.625 [16 per cell]